## CeSb2Au (GGA-PBE)

Data for a relaxed structure of CeSb2Au.

Symmetry = No. 123
Crystal system = tetragonal
ΔE_f (raw) = -643 meV/atom
Uncorrected energy = -5.01 eV per atom

a b c (Å): 4.7869 4.7869 4.2576
angles (deg): 90.00 90.00 90.00
With the nearest neighbours (Å) after each atom.
Atoms (fractional coordinates):
Ce 0.0000 0.0000 0.0000  8 Sb 3.20, 4 Au 3.38
Sb 0.0000 0.5000 0.5000  4 Au 3.20, 4 Ce 3.20, 4 Sb 3.38
Sb 0.5000 0.0000 0.5000  4 Au 3.20, 4 Ce 3.20, 4 Sb 3.38
Au 0.5000 0.5000 0.0000  8 Sb 3.20, 4 Ce 3.38